Entry 1:
Crystalline BaCd2GePt2 at its relaxed geometry, computed with PBE.

Cell and atoms, written as POSCAR:
```
BaCd2GePt2
1.0
4.8164 0.0000 0.0000
0.0000 4.8164 0.0000
0.0000 0.0000 6.3942
Cd Pt Ge Ba
2 2 1 1
direct
0.5000 0.5000 0.7414 Cd
0.5000 0.5000 0.2586 Cd
0.0000 0.5000 0.0000 Pt
0.5000 0.0000 0.0000 Pt
0.0000 0.0000 0.0000 Ge
0.0000 0.0000 0.5000 Ba
```

Computed properties:
calculated formation energy	-42.2	kJ/mol of atoms

---

Entry 2:
Crystalline KLiBe2 at its relaxed geometry, computed with PBE.

Cell and atoms, written as POSCAR:
```
KLiBe2
1.0
-4.4878 -3.2168 -2.2280
-3.5932 -3.4256 3.2873
2.3303 5.2212 -1.6616
Be K Li
2 1 1
direct
0.9641 0.9641 0.0000 Be
0.5359 0.5359 0.0000 Be
0.2500 0.7500 0.5000 K
0.7500 0.2500 0.5000 Li
```

Computed properties:
calculated formation energy	91.1	kJ/mol of atoms
polymorph energy (0 for the lowest one)	0.7686	eV per atom

---

Entry 3:
Crystalline AcTmTh at its relaxed geometry, computed with PBE.

Cell and atoms, written as POSCAR:
```
AcTmTh
1.0
5.0987 0.0000 0.0000
0.0000 5.0987 0.0000
0.0000 0.0000 8.7595
Th Tm Ac
2 2 2
direct
0.0000 0.0000 0.0000 Th
0.5000 0.5000 0.0000 Th
0.0000 0.5000 0.7434 Tm
0.5000 0.0000 0.2566 Tm
0.5000 0.0000 0.6837 Ac
0.0000 0.5000 0.3163 Ac
```

Computed properties:
calculated formation energy	21.1	kJ/mol of atoms
polymorph energy (0 for the lowest one)	0.1227	eV per atom

---

Entry 4:
Crystalline GdTlCd at its relaxed geometry, computed with PBE.

Cell and atoms, written as POSCAR:
```
GdTlCd
1.0
3.5688 0.0000 0.0000
0.0000 5.0380 0.0000
0.0000 -2.5190 4.3631
Cd Gd Tl
1 1 1
direct
0.1661 0.3333 0.6667 Cd
0.6666 0.6667 0.3333 Gd
0.1673 0.0000 0.0000 Tl
```

Computed properties:
calculated formation energy	-28.7	kJ/mol of atoms

---

Entry 5:
Crystalline CrRuAu2 at its relaxed geometry, computed with PBE.

Cell and atoms, written as POSCAR:
```
CrRuAu2
1.0
4.5132 0.0000 0.0000
2.2566 3.9086 0.0000
2.2566 1.3029 3.6850
Ru Au Cr
1 2 1
direct
0.7500 0.7500 0.7500 Ru
0.2500 0.2500 0.2500 Au
0.0000 0.0000 0.0000 Au
0.5000 0.5000 0.5000 Cr
```

Computed properties:
calculated formation energy	37.2	kJ/mol of atoms
polymorph energy (0 for the lowest one)	0.2432	eV per atom

---

Entry 6:
Crystalline Ca2InCu at its relaxed geometry, computed with PBE.

Cell and atoms, written as POSCAR:
```
Ca2InCu
1.0
8.2885 0.0000 0.0000
0.0000 8.2885 0.0000
4.1442 4.1442 3.3664
Ca Cu In
4 2 2
direct
0.5825 0.1250 0.2500 Ca
0.1675 0.6250 0.2500 Ca
0.8750 0.8325 0.7500 Ca
0.3750 0.4175 0.7500 Ca
0.2500 0.7500 0.5000 Cu
0.5000 0.5000 0.0000 Cu
0.0000 0.0000 0.0000 In
0.7500 0.2500 0.5000 In
```

Computed properties:
calculated formation energy	3.3	kJ/mol of atoms

---

Entry 7:
Crystalline CdRuSeN2 at its relaxed geometry, computed with PBE.

Cell and atoms, written as POSCAR:
```
CdRuSeN2
1.0
-2.3107 1.4106 2.7276
-2.4495 -2.9054 -0.5726
2.6575 -2.9886 3.7968
N Cd Ru Se
2 1 1 1
direct
0.5000 0.0000 0.0000 N
0.0000 0.5000 0.0000 N
0.5000 0.5000 0.5000 Cd
0.0000 0.0000 0.0000 Ru
0.0000 0.0000 0.5000 Se
```

Computed properties:
polymorph energy (0 for the lowest one)	0.0000	eV per atom

---

Entry 8:
Crystalline Al2Zn2Si at its relaxed geometry, computed with PBE.

Cell and atoms, written as POSCAR:
```
Al2Zn2Si
1.0
-2.8234 7.2891 -0.2718
-5.3897 -2.2812 -5.1888
-1.7172 -0.5890 2.0426
Al Zn Si
4 4 2
direct
0.8704 0.6296 0.0000 Al
0.6296 0.1296 0.0000 Al
0.3704 0.8704 0.0000 Al
0.1296 0.3704 0.0000 Al
0.3300 0.1700 0.5000 Zn
0.6700 0.8300 0.5000 Zn
0.1700 0.6700 0.5000 Zn
0.8300 0.3300 0.5000 Zn
0.0000 0.0000 0.0000 Si
0.5000 0.5000 0.0000 Si
```

Computed properties:
polymorph energy (0 for the lowest one)	0.0231	eV per atom

---

Entry 9:
Crystalline YTaF at its relaxed geometry, computed with PBE.

Cell and atoms, written as POSCAR:
```
YTaF
1.0
-3.0905 0.5004 1.4267
1.1053 -1.5831 2.9495
5.8089 16.6325 6.7501
F Y Ta
4 4 4
direct
0.5000 0.0000 0.2409 F
0.0000 0.0000 0.8321 F
0.0000 0.5000 0.3321 F
0.5000 0.5000 0.7409 F
0.0000 0.5000 0.2098 Y
0.0000 0.0000 0.7098 Y
0.5000 0.0000 0.9215 Y
0.5000 0.5000 0.4215 Y
0.5000 0.0000 0.0978 Ta
0.0000 0.5000 0.0313 Ta
0.5000 0.5000 0.5978 Ta
0.0000 0.0000 0.5313 Ta
```

Computed properties:
polymorph energy (0 for the lowest one)	0.1095	eV per atom

---

Entry 10:
Crystalline Y3HgC at its relaxed geometry, computed with PBE.

Cell and atoms, written as POSCAR:
```
Y3HgC
1.0
0.0000 6.5178 6.5178
6.5178 0.0000 6.5178
6.5178 6.5178 0.0000
Y Hg C
12 4 4
direct
0.1937 0.8063 0.1937 Y
0.1937 0.8063 0.8063 Y
0.8063 0.8063 0.1937 Y
0.1937 0.1937 0.8063 Y
0.8063 0.1937 0.8063 Y
0.4437 0.0563 0.0563 Y
0.4437 0.0563 0.4437 Y
0.0563 0.4437 0.0563 Y
0.4437 0.4437 0.0563 Y
0.0563 0.4437 0.4437 Y
0.0563 0.0563 0.4437 Y
0.8063 0.1937 0.1937 Y
0.6250 0.6250 0.6250 Hg
0.6250 0.1250 0.6250 Hg
0.6250 0.6250 0.1250 Hg
0.1250 0.6250 0.6250 Hg
0.6250 0.1250 0.1250 C
0.1250 0.1250 0.6250 C
0.1250 0.6250 0.1250 C
0.1250 0.1250 0.1250 C
```

Computed properties:
calculated formation energy	-8.1	kJ/mol of atoms
polymorph energy (0 for the lowest one)	0.3442	eV per atom

---

Entry 11:
Crystalline Tb2DyO4 at its relaxed geometry, computed with PBE.

Cell and atoms, written as POSCAR:
```
Tb2DyO4
1.0
3.4559 0.0000 0.0000
0.0000 5.9011 -0.1615
-1.7280 -3.0323 5.3570
Tb O Dy
2 4 1
direct
0.6999 0.7004 0.3999 Tb
0.3001 0.2996 0.6001 Tb
0.8666 0.1587 0.7332 O
0.6446 0.2680 0.2893 O
0.3554 0.7320 0.7107 O
0.1334 0.8413 0.2668 O
0.0000 0.0000 0.0000 Dy
```

Computed properties:
E	-56.152	eV/f.u.

---

Entry 12:
Crystalline LiSm2Ni4P3 at its relaxed geometry, computed with PBE.

Cell and atoms, written as POSCAR:
```
LiSm2Ni4P3
1.0
3.9660 0.0000 0.0000
0.0000 3.9660 0.0000
0.0000 0.0000 9.2951
Ni Li P Sm
4 1 3 2
direct
0.0000 0.0000 0.0000 Ni
0.5000 0.5000 0.0000 Ni
0.0000 0.5000 0.3763 Ni
0.5000 0.0000 0.6237 Ni
0.5000 0.5000 0.5000 Li
0.0000 0.5000 0.1337 P
0.5000 0.0000 0.8663 P
0.0000 0.0000 0.5000 P
0.5000 0.0000 0.2455 Sm
0.0000 0.5000 0.7545 Sm
```

Computed properties:
calculated formation energy	-88.8	kJ/mol of atoms

---

Entry 13:
Crystalline YCrPb2Br at its relaxed geometry, computed with PBE.

Cell and atoms, written as POSCAR:
```
YCrPb2Br
1.0
6.0317 0.0000 0.0000
0.0000 5.4060 0.0000
0.0000 0.0000 6.0317
Pb Y Cr Br
2 1 1 1
direct
0.5000 0.0000 0.0000 Pb
0.0000 0.0000 0.5000 Pb
0.0000 0.0000 0.0000 Y
0.5000 0.5000 0.5000 Cr
0.0000 0.5000 0.0000 Br
```

Computed properties:
E	-22.717	eV/f.u.

---

Let's list volume in order: 24.7; 17.5; 38.0; 26.1; 16.3; 28.9; 16.3; 16.7; 19.1; 27.7; 15.4; 14.6; 39.3 Å³/atom.